Entry from Alexandria via LeMat-Bulk: a relaxed structure of Be2TlPO6 (PBE).

total magnetization = 0.000 μB/cell
symmetry = C2/c, No. 15
uncorrected formation energy = -20.2 eV per formula unit
density of states at the Fermi level = 0.00 states/eV per atom
final energy = -6.516 eV/atom
calculated volume = 11.90 A^3/atom

```
Be2TlPO6
1.0
5.1314 0.1421 0.1475
1.7919 6.9100 -0.5322
1.7919 -0.7879 6.8856
Be Tl P O
4 2 2 12
Direct
0.3665 0.8462 0.6890
0.1335 0.3110 0.1538
0.6335 0.1538 0.3110
0.8665 0.6890 0.8462
0.2500 0.8897 0.1103
0.7500 0.1103 0.8897
0.2500 0.2961 0.7039
0.7500 0.7039 0.2961
0.1764 0.0954 0.6787
0.3236 0.3213 0.9046
0.8236 0.9046 0.3213
0.6764 0.6787 0.0954
0.4814 0.7256 0.4656
0.0186 0.5344 0.2744
0.5186 0.2744 0.5344
0.9814 0.4656 0.7256
0.1035 0.7998 0.8491
0.3965 0.1509 0.2002
0.8965 0.2002 0.1509
0.6035 0.8491 0.7998
```

=====

Entry from Alexandria via LeMat-Bulk: a relaxed structure of NaScRhPb2 (PBE).

total magnetization = 0.000 μB/cell
symmetry = P4/mmm, No. 123
density of states at the Fermi level = 0.52 states/eV per atom
energy of formation from the pure elements = 0.243 eV/atom
final energy = -4.240 eV/atom
calculated volume = 30.26 A^3/atom

```
NaScRhPb2
1.0
-0.9451 5.0666 -2.4168
-4.1792 -1.4786 -1.4655
-2.3557 1.8666 4.8343
Pb Sc Rh Na
2 1 1 1
Direct
0.0000 0.0000 0.5000
0.5000 0.0000 0.0000
0.0000 0.0000 0.0000
0.0000 0.5000 0.0000
0.5000 0.5000 0.5000
```

=====

Entry from Alexandria via LeMat-Bulk: a relaxed structure of NdZnH8Rh2 (PBE).

total magnetization = 0.000 μB/cell
symmetry = R-3, No. 148
density of states at the Fermi level = 0.20 states/eV per atom
final energy = -4.124 eV/atom
calculated volume = 8.95 A^3/atom

```
NdZnH8Rh2
1.0
-3.7310 -2.8290 -0.5931
-0.8944 -3.4143 3.1333
-4.6861 1.4477 3.7944
Nd Zn H Rh
1 1 8 2
Direct
0.5000 0.5000 0.5000
0.0000 0.0000 0.0000
0.1928 0.1928 0.4217
0.6125 0.3300 0.1551
0.8072 0.8072 0.5783
0.9023 0.6125 0.1551
0.0977 0.3875 0.8449
0.3300 0.9023 0.1551
0.6700 0.0977 0.8449
0.3875 0.6700 0.8449
0.2947 0.2947 0.1160
0.7053 0.7053 0.8840
```

=====

Entry from Alexandria via LeMat-Bulk: a relaxed structure of VCdAu (PBE).

total magnetization = 0.001 μB/cell
symmetry = P1, No. 1
density of states at the Fermi level = 0.74 states/eV per atom
energy of formation from the pure elements = 0.133 eV/atom
final energy = -4.304 eV/atom
calculated volume = 17.98 A^3/atom

```
VCdAu
1.0
4.0921 0.0090 -0.0074
1.8066 4.6375 -0.0204
0.3550 1.8971 5.6809
V Au Cd
2 2 2
Direct
0.4661 0.3087 0.7878
0.7403 0.5427 0.5697
0.7659 0.5988 0.0079
0.0959 0.9259 0.6625
0.1001 0.9295 0.1589
0.4275 0.2587 0.3331
```